! PBE Sc3SnB, relaxed; values from VASP
! Total DFT energy (no corrections) in eV per cell: -32.7
! Offset from the most stable computed form in kJ/mol of atoms: 0.0
! Space group: No. 221
! Formation enthalpy at 0 K in eV/atom: -0.6098
&SYSTEM
  ibrav = 0, nat = 5, ntyp = 3
/
ATOMIC_SPECIES
Sn 118.71 Sn.upf
B 10.81 B.upf
Sc 44.96 Sc.upf
CELL_PARAMETERS angstrom
-0.2057 -4.3463 1.6549
-0.9863 -1.5781 -4.2671
4.5449 -0.5392 -0.8511
ATOMIC_POSITIONS angstrom
Sn 1.6765 -3.2318 -1.7317
B 0.0000 0.0000 0.0000
Sc 2.2725 -0.2696 -0.4256
Sc -0.1028 -2.1732 0.8275
Sc -0.4931 -0.7890 -2.1336

---

! PBE Tc4RuPb, relaxed; values from VASP
! Total DFT energy (no corrections) in eV per cell: -50.7
! Space group: No. 216
! Formation enthalpy at 0 K in eV/atom: 0.6286
&SYSTEM
  ibrav = 0, nat = 6, ntyp = 3
/
ATOMIC_SPECIES
Tc 98.00 Tc.upf
Ru 101.07 Ru.upf
Pb 207.20 Pb.upf
CELL_PARAMETERS angstrom
0.0000 3.6684 3.6684
3.6684 0.0000 3.6684
3.6684 3.6684 0.0000
ATOMIC_POSITIONS angstrom
Tc 4.5906 4.5906 4.5906
Tc 4.5906 2.7463 2.7463
Tc 2.7463 4.5906 2.7463
Tc 2.7463 2.7463 4.5906
Ru 0.0000 0.0000 0.0000
Pb 1.8342 1.8342 1.8342

---

! PBE MgTl2Sn, relaxed; values from VASP
! Total DFT energy (no corrections) in eV per cell: -21.1
! Offset from the most stable computed form in kJ/mol of atoms: 0.0
! Space group: No. 139
! Formation enthalpy at 0 K in eV/atom: -0.0508
&SYSTEM
  ibrav = 0, nat = 8, ntyp = 3
/
ATOMIC_SPECIES
Mg 24.30 Mg.upf
Tl 204.38 Tl.upf
Sn 118.71 Sn.upf
CELL_PARAMETERS angstrom
-0.8269 3.4373 -3.5461
4.5783 -0.8146 -1.8572
-5.1359 -7.5595 -2.5947
ATOMIC_POSITIONS angstrom
Mg 0.6591 -3.5314 -3.5768
Mg -2.0435 -1.4054 -4.4212
Tl -2.3755 -4.5526 -3.8591
Tl 0.9911 -0.3841 -4.1388
Tl -0.4134 1.7187 -1.7730
Tl 2.2892 -0.4073 -0.9286
Sn -0.4353 -3.1178 -6.4561
Sn -0.9491 -1.8190 -1.5419

---

! PBE ZnTe2Ir, relaxed; values from VASP
! Total DFT energy (no corrections) in eV per cell: -15.8
! Space group: No. 99
! E_form (uncorrected) in eV per atom: 0.152
&SYSTEM
  ibrav = 0, nat = 4, ntyp = 3
/
ATOMIC_SPECIES
Ir 192.22 Ir.upf
Te 127.60 Te.upf
Zn 65.41 Zn.upf
CELL_PARAMETERS angstrom
-1.0546 2.8576 -0.7491
-2.1813 -0.2177 2.2436
5.8659 3.7554 6.0674
ATOMIC_POSITIONS angstrom
Ir 2.6775 4.0699 5.1903
Te 5.3711 3.4386 5.5556
Te 0.0772 2.4051 2.5006
Zn 3.3031 2.1146 3.4165

---

Total moment
In order: 0.00 0.00 0.00 0.00
Unit: μB/atom